Record 1
The following is a GGA-PBE calculation of a geometry-optimized CeNpPa2N6 structure, from Alexandria.

Cell: 6.016 6.016 6.016 Å, 60.01 60.01 60.01°
Fractional positions:
1 Ce 0.000 0.000 0.000
2 Np 0.514 0.514 0.514
3 Pa 0.231 0.231 0.231
4 Pa 0.735 0.735 0.735
5 N 0.127 0.427 0.837
6 N 0.359 0.911 0.605
7 N 0.427 0.837 0.127
8 N 0.605 0.359 0.911
9 N 0.837 0.127 0.427
10 N 0.911 0.605 0.359

Summary:
* uncorrected formation energy: -1.3937 eV/atom
* symmetry: No. 146

=====

Record 2
The following is a GGA-PBE calculation of a geometry-optimized Zr2ScPb structure, from Alexandria.

Cell: 10.555 10.555 10.555 Å, 17.95 17.95 17.95°
Fractional positions:
1 Zr 0.250 0.250 0.250
2 Zr 0.750 0.750 0.750
3 Sc 0.000 0.000 0.000
4 Pb 0.500 0.500 0.500

Summary:
* symmetry: No. 166

=====

Record 3
The following is a GGA-PBE calculation of a geometry-optimized Tb2Pm2Y2Er structure, from Alexandria.

Cell: 8.822 8.822 8.822 Å, 37.72 37.72 37.72°
Fractional positions:
1 Tb 0.215 0.215 0.215
2 Tb 0.785 0.785 0.785
3 Pm 0.361 0.361 0.361
4 Pm 0.639 0.639 0.639
5 Y 0.073 0.073 0.073
6 Y 0.927 0.927 0.927
7 Er 0.500 0.500 0.500

Summary:
* symmetry: No. 166

=====

no.,final energy (eV per cell),magnetic moment (μB per formula unit)
1,-101.76,3.01
2,-27.12,0.00
3,-35.30,0.11